A relaxed PaFe2SbO6 crystal. Source: Alexandria via LeMat-Bulk, functional GGA+U.

The value obtained for the volume is 270.82 Å³ per cell. The calculation puts the total energy at -7.48 eV per atom. The value obtained for the density of states at the Fermi level is 0.000 states/eV/f.u. As for the density: 6.9 g cm⁻³.

The structure belongs to space group P2_1/c (No. 14); the cell edges are 5.700, 5.669 and 10.116 Å and the angles 90.00°, 124.05° and 90.00°. The inequivalent atoms are Pa at (0.000, 0.000, 0.000), Fe at (0.280, 0.024, 0.760), Sb at (0.500, 0.000, 0.500), O at (0.062, 0.175, 0.414), O at (0.266, 0.656, 0.432) and O at (0.378, 0.123, 0.244).